CaBMoO4, relaxed, DFT PBE+U; symmetry = Cmcm (63); VASP energy = -7.415 eV/atom; ρ = 4.6 g/cm³
1.0
2.6070 -4.2861 0.0000
2.6070 4.2861 0.0000
0.0000 0.0000 6.8012
Ca B Mo O
2 2 2 8
Direct
0.1834 0.8166 0.7500
0.8166 0.1834 0.2500
0.1658 0.8342 0.2500
0.8342 0.1658 0.7500
0.5000 0.5000 0.0000
0.5000 0.5000 0.5000
0.1857 0.2923 0.7500
0.2586 0.7414 0.0750
0.2586 0.7414 0.4250
0.2923 0.1857 0.2500
0.7077 0.8143 0.7500
0.7414 0.2586 0.5750
0.7414 0.2586 0.9250
0.8143 0.7077 0.2500